First-principles (SCAN) data for a PBEsol-optimized structure of Zn2CdAs, as listed in Alexandria via LeMat-Bulk.

## Properties
Space group: P4/mmm, No. 123
Polymorph energy (0 for the lowest one): 38.5 meV per atom
Spin magnetization: 0.0 μB/cell
V: 17.45 A^3/atom
E_tot: -76.8 eV for the cell shown

Lattice parameters (Å, degrees): 3.9899 4.1826 4.1826 90.00 90.00 90.00
Closest atoms and distances in Å follow each position.
Element x y z (fractional)
1 Zn 0.0000 0.0000 0.5000  4 As 2.89, 4 Cd 2.89, 4 Zn 2.96
2 Cd 0.5000 0.0000 0.0000  8 Zn 2.89, 4 As 2.96
3 As 0.5000 0.5000 0.5000  8 Zn 2.89, 4 Cd 2.96
4 Zn 0.0000 0.5000 0.0000  4 As 2.89, 4 Cd 2.89, 4 Zn 2.96

First-principles (SCAN) data for a PBEsol-optimized structure of La3ZrI, as listed in Alexandria via LeMat-Bulk.

## Properties
Space group: Pm-3m, No. 221
Spin magnetization: 0.0 μB/cell
Formation energy from raw total energies: 3.84 kcal/mol of atoms
V: 36.43 A^3/atom
E_tot: -195.9 eV for the cell shown

Lattice parameters (Å, degrees): 5.6686 5.6686 5.6686 90.00 90.00 90.00
Closest atoms and distances in Å follow each position.
Element x y z (fractional)
1 I 0.5000 0.5000 0.5000  12 La 4.01
2 Zr 0.0000 0.0000 0.0000  6 La 2.83
3 La 0.0000 0.5000 0.0000  2 Zr 2.83
4 La 0.0000 0.0000 0.5000  2 Zr 2.83
5 La 0.5000 0.0000 0.0000  2 Zr 2.83